[1]
Here is a relaxed KTeS3 crystal from Alexandria via LeMat-Bulk. Energies are from PBE-GGA.

The density comes out at 2.8 g/cm³. The energy above the most stable polymorph in this dataset is 0.000 eV/atom.

The structure belongs to space group P-1 (No. 2); the cell edges are 5.917, 7.546 and 7.890 Å and the angles 109.24°, 106.82° and 91.16°. The asymmetric unit holds K at (0.106, 0.349, 0.220), Te at (0.309, 0.105, 0.678), S at (0.070, 0.934, 0.280), S at (0.351, 0.414, 0.688) and S at (0.476, 0.852, 0.963).

***

[2]
Here is a relaxed Rb3ReB crystal from Alexandria via LeMat-Bulk. Energies are from PBE-GGA.

The calculation puts the energy of formation from the pure elements at 2295 meV per atom. The density comes out at 2.6 g/cm³. For the density of states at the Fermi level, the calculation gives 3.47 states/eV per atom.

The structure belongs to space group Pm-3m (No. 221); the cell edges are 6.606, 6.606 and 6.606 Å and the angles 90.00°, 90.00° and 90.00°. The asymmetric unit holds Rb at (0.000, 0.000, 0.500), Re at (0.000, 0.000, 0.000) and B at (0.500, 0.500, 0.500).

***

[3]
Here is a relaxed Sb2IrRu crystal from Alexandria via LeMat-Bulk. Energies are from PBE-GGA.

The density comes out at 12.1 g/cm³. The energy above the most stable polymorph in this dataset is 0.071 eV/atom. For the density of states at the Fermi level, the calculation gives 0.77 states/eV per atom.

The structure belongs to space group Cm (No. 8); the cell edges are 9.511, 3.482 and 4.543 Å and the angles 90.00°, 101.57° and 90.00°. The asymmetric unit holds Sb at (0.000, 0.000, 0.000), Sb at (0.245, 0.000, 0.589), Ir at (0.017, 0.500, 0.492) and Ru at (0.226, 0.500, 0.085).

***

[4]
Here is a relaxed LiPaTlO5 crystal from Alexandria via LeMat-Bulk. Energies are from PBE-GGA.

The density comes out at 7.6 g/cm³. For the density of states at the Fermi level, the calculation gives 0.76 states/eV per atom.

The structure belongs to space group Cmcm (No. 63); the cell edges are 7.197, 9.822 and 6.494 Å and the angles 90.00°, 90.00° and 90.00°. The asymmetric unit holds Li at (0.000, 0.239, 0.250), Pa at (0.000, 0.405, 0.750), Tl at (0.000, 0.000, 0.000), O at (0.000, 0.166, 0.750), O at (0.000, 0.383, 0.065) and O at (0.195, 0.095, 0.250).

***

[5]
Here is a relaxed Sr2Bi2Pd crystal from Alexandria via LeMat-Bulk. Energies are from PBE-GGA.

The calculation puts the energy of formation from the pure elements at -751 meV per atom. The density comes out at 7.4 g/cm³. The energy above the most stable polymorph in this dataset is 0.000 eV/atom. For the density of states at the Fermi level, the calculation gives 0.61 states/eV per atom.

The structure belongs to space group C2/m (No. 12); the cell edges are 11.994, 4.857 and 12.213 Å and the angles 90.00°, 117.71° and 90.00°. The asymmetric unit holds Sr at (0.006, 0.000, 0.338), Sr at (0.182, 0.000, 0.119), Bi at (0.023, 0.500, 0.873), Bi at (0.159, 0.500, 0.555) and Pd at (0.217, 0.500, 0.341).

***

[6]
Here is a relaxed MgNbAg crystal from Alexandria via LeMat-Bulk. Energies are from PBE-GGA.

The calculation puts the energy of formation from the pure elements at 85 meV per atom. The density comes out at 6.6 g/cm³. The energy above the most stable polymorph in this dataset is 0.030 eV/atom. For the density of states at the Fermi level, the calculation gives 0.53 states/eV per atom.

The structure belongs to space group Pmm2 (No. 25); the cell edges are 3.024, 3.898 and 9.564 Å and the angles 90.00°, 90.00° and 90.00°. The asymmetric unit holds Mg at (0.000, 0.000, 0.000), Mg at (0.000, 0.000, 0.330), Nb at (0.000, 0.000, 0.662), Nb at (0.500, 0.500, 0.515), Ag at (0.500, 0.500, 0.175) and Ag at (0.500, 0.500, 0.844).

***

[7]
Here is a relaxed Na4Np3SnS8 crystal from Alexandria via LeMat-Bulk. Energies are from PBE-GGA.

The density comes out at 5.2 g/cm³. For the density of states at the Fermi level, the calculation gives 2.02 states/eV per atom.

The structure belongs to space group R-3m (No. 166, hexagonal axes); the cell edges are 8.1454, 8.1454 and 19.7620 Å and the angles 90.00°, 90.00° and 120.00°. The asymmetric unit holds Na at (0.0000, 0.0000, 0.0000), Na at (0.0000, 0.5000, 0.0000), Np at (0.0000, 0.5000, 0.5000), Sn at (0.0000, 0.0000, 0.5000), S at (0.0000, 0.0000, 0.2416) and S at (0.0140, 0.5070, 0.7579).

***

[8]
Here is a relaxed NpSiPt4 crystal from Alexandria via LeMat-Bulk. Energies are from PBE-GGA.

The density comes out at 16.8 g/cm³. The energy above the most stable polymorph in this dataset is 0.000 eV/atom. For the density of states at the Fermi level, the calculation gives 1.93 states/eV per atom.

The structure belongs to space group Cmcm (No. 63); the cell edges are 3.913, 15.381 and 6.850 Å and the angles 90.00°, 90.00° and 90.00°. The asymmetric unit holds Np at (0.000, 0.106, 0.250), Si at (0.000, 0.238, 0.750), Pt at (0.000, 0.079, 0.750), Pt at (0.000, 0.318, 0.045) and Pt at (0.000, 0.500, 0.000).

***

[9]
Here is a relaxed Nd2Al12Co3Ir crystal from Alexandria via LeMat-Bulk. Energies are from PBE-GGA.

The calculation puts the energy of formation from the pure elements at 80 meV per atom. The density comes out at 4.2 g/cm³. For the density of states at the Fermi level, the calculation gives 0.68 states/eV per atom.

The structure belongs to space group R-3m (No. 166, hexagonal axes); the cell edges are 8.2531, 8.2531 and 19.7169 Å and the angles 90.00°, 90.00° and 120.00°. The asymmetric unit holds Nd at (0.0000, 0.0000, 0.1098), Al at (0.0226, 0.5113, 0.1156), Al at (0.0626, 0.5313, 0.3565), Co at (0.0000, 0.5000, 0.0000) and Ir at (0.0000, 0.0000, 0.5000).

***

[10]
Here is a relaxed LaCdFe crystal from Alexandria via LeMat-Bulk. Energies are from PBE-GGA.

The calculation puts the energy of formation from the pure elements at 179 meV per atom. The density comes out at 7.4 g/cm³. For the density of states at the Fermi level, the calculation gives 1.48 states/eV per atom.

The structure belongs to space group I4mm (No. 107); the cell edges are 3.398, 3.398 and 11.876 Å and the angles 90.00°, 90.00° and 90.00°. The asymmetric unit holds La at (0.000, 0.000, 0.000), Cd at (0.000, 0.000, 0.716) and Fe at (0.000, 0.000, 0.335).

***

[11]
Here is a relaxed CdAsI2O crystal from Alexandria via LeMat-Bulk. Energies are from PBE-GGA.

The density comes out at 5.4 g/cm³. The energy above the most stable polymorph in this dataset is 0.534 eV/atom. For the density of states at the Fermi level, the calculation gives 1.80 states/eV per atom.

The structure belongs to space group P4/mmm (No. 123); the cell edges are 5.910, 5.910 and 4.024 Å and the angles 90.00°, 90.00° and 90.00°. The asymmetric unit holds Cd at (0.000, 0.000, 0.000), As at (0.500, 0.500, 0.500), I at (0.000, 0.500, 0.000) and O at (0.000, 0.000, 0.500).

***

[12]
Here is a relaxed Zr3Zn4 crystal from Alexandria via LeMat-Bulk. Energies are from PBE-GGA.

The calculation puts the energy of formation from the pure elements at -132 meV per atom. The density comes out at 6.8 g/cm³. The energy above the most stable polymorph in this dataset is 0.061 eV/atom. For the density of states at the Fermi level, the calculation gives 0.72 states/eV per atom.

The structure belongs to space group Cm (No. 8); the cell edges are 11.415, 3.257 and 7.226 Å and the angles 90.00°, 104.41° and 90.00°. The asymmetric unit holds Zr at (0.000, 0.000, 0.000), Zr at (0.089, 0.500, 0.699), Zr at (0.349, 0.500, 0.577), Zn at (0.133, 0.000, 0.389), Zn at (0.223, 0.500, 0.146), Zn at (0.286, 0.000, 0.898) and Zn at (0.420, 0.000, 0.290).

***

| no. | size of the total moment (μB/cell) | VASP energy (eV per atom) |
| --- | --- | --- |
| 1 | 0.0 | -3.718 |
| 2 | 5.7 | -2.110 |
| 3 | 0.0 | -6.497 |
| 4 | 1.2 | -6.824 |
| 5 | 0.0 | -4.014 |
| 6 | 0.0 | -4.754 |
| 7 | 33.0 | -6.294 |
| 8 | 14.2 | -7.733 |
| 9 | 0.0 | -4.621 |
| 10 | 4.0 | -4.590 |
| 11 | 0.3 | -2.375 |
| 12 | 0.0 | -4.524 |